Entry from Alexandria: crystalline YAuS2 at its relaxed geometry (PBE-GGA).

Cell and atoms, written as extended XYZ:
```
16
Lattice="7.599 0.000 0.000 0.000 8.468 0.000 0.000 0.000 7.013" Properties=species:S:1:pos:R:3 pbc="T T T"
Y 0.666 0.994 0.000
Y 3.134 5.228 3.507
Y 4.466 3.241 0.000
Y 6.934 7.475 3.507
Au 1.717 5.355 6.228
Au 2.083 1.121 2.722
Au 5.517 7.347 6.228
Au 5.882 3.113 2.722
S 0.444 1.223 4.382
S 0.578 5.235 4.179
S 3.222 1.001 0.672
S 3.356 5.458 0.875
S 4.243 3.011 4.382
S 4.378 7.468 4.179
S 7.021 3.234 0.672
S 7.156 7.245 0.875
```

Summary:
Its density of states at the Fermi level is 0.00 states/eV/f.u. The total energy is -5.622 eV/atom. Its space-group type is No. 33. For the formation energy from raw total energies, the calculation gives -1.123 eV/atom.